No. 1
A relaxed structure of Eu3Mn5N12, computed with PBE.

a b c (Å): 10.6971 10.6971 10.6971
angles (deg): 109.47 109.47 109.47
Positions (direct):
Eu 0.1250 0.2500 0.3750
Eu 0.1250 0.3750 0.7500
Eu 0.2500 0.3750 0.1250
Eu 0.2500 0.8750 0.6250
Eu 0.3750 0.1250 0.2500
Eu 0.3750 0.7500 0.1250
Eu 0.6250 0.2500 0.8750
Eu 0.6250 0.8750 0.7500
Eu 0.7500 0.1250 0.3750
Eu 0.7500 0.6250 0.8750
Eu 0.8750 0.6250 0.2500
Eu 0.8750 0.7500 0.6250
Mn 0.0000 0.0000 0.0000
Mn 0.0000 0.0000 0.5000
Mn 0.0000 0.5000 0.0000
Mn 0.0000 0.5000 0.5000
Mn 0.1250 0.7500 0.8750
Mn 0.1250 0.8750 0.2500
Mn 0.2500 0.1250 0.8750
Mn 0.2500 0.6250 0.3750
Mn 0.3750 0.2500 0.6250
Mn 0.3750 0.6250 0.7500
Mn 0.5000 0.0000 0.0000
Mn 0.5000 0.0000 0.5000
Mn 0.5000 0.5000 0.0000
Mn 0.5000 0.5000 0.5000
Mn 0.6250 0.3750 0.2500
Mn 0.6250 0.7500 0.3750
Mn 0.7500 0.3750 0.6250
Mn 0.7500 0.8750 0.1250
Mn 0.8750 0.1250 0.7500
Mn 0.8750 0.2500 0.1250
N 0.0041 0.1921 0.1102
N 0.0041 0.3119 0.8939
N 0.0819 0.6921 0.6881
N 0.0819 0.8898 0.3939
N 0.1061 0.6102 0.4181
N 0.1061 0.9959 0.6881
N 0.1102 0.0041 0.1921
N 0.1102 0.6061 0.9181
N 0.1881 0.1921 0.5819
N 0.1881 0.4959 0.6061
N 0.1921 0.1102 0.0041
N 0.1921 0.5819 0.1881
N 0.3079 0.3119 0.9181
N 0.3079 0.4959 0.3898
N 0.3119 0.8939 0.0041
N 0.3119 0.9181 0.3079
N 0.3898 0.3079 0.4959
N 0.3898 0.5819 0.8939
N 0.3939 0.0819 0.8898
N 0.3939 0.8119 0.5041
N 0.4181 0.1061 0.6102
N 0.4181 0.8119 0.8079
N 0.4959 0.3898 0.3079
N 0.4959 0.6061 0.1881
N 0.5041 0.3939 0.8119
N 0.5041 0.6102 0.6921
N 0.5819 0.1881 0.1921
N 0.5819 0.8939 0.3898
N 0.6061 0.1881 0.4959
N 0.6061 0.9181 0.1102
N 0.6102 0.4181 0.1061
N 0.6102 0.6921 0.5041
N 0.6881 0.0819 0.6921
N 0.6881 0.1061 0.9959
N 0.6921 0.5041 0.6102
N 0.6921 0.6881 0.0819
N 0.8079 0.4181 0.8119
N 0.8079 0.8898 0.9959
N 0.8119 0.5041 0.3939
N 0.8119 0.8079 0.4181
N 0.8898 0.3939 0.0819
N 0.8898 0.9959 0.8079
N 0.8939 0.0041 0.3119
N 0.8939 0.3898 0.5819
N 0.9181 0.1102 0.6061
N 0.9181 0.3079 0.3119
N 0.9959 0.6881 0.1061
N 0.9959 0.8079 0.8898

Summary:
total magnetization: 1.200 μB per atom
raw total energy: -728.821 eV for the cell shown



No. 2
A relaxed structure of EuMnN2, computed with PBE.

a b c (Å): 2.8265 2.8265 5.8382
angles (deg): 90.00 90.00 90.00
Positions (direct):
Eu 0.0000 0.0000 0.0000
Mn 0.0000 0.0000 0.5000
N 0.5000 0.5000 0.2860
N 0.5000 0.5000 0.7140

Summary:
total magnetization: 2.423 μB per atom
raw total energy: -34.823 eV for the cell shown